No. 1
VASP calculation (GGA-PBE) on a relaxed structure of KTmTe2.

```
data_KTmTe2
_space_group_name_H-M_alt 'R 3 m'
_space_group_IT_number 160
_space_group_name_Hall 'R 3 -2"'
_cell_length_a 4.4336
_cell_length_b 4.4336
_cell_length_c 25.0829
_cell_angle_alpha 90.00
_cell_angle_beta 90.00
_cell_angle_gamma 120.00
loop_
_atom_site_label
_atom_site_type_symbol
_atom_site_fract_x
_atom_site_fract_y
_atom_site_fract_z
K1 K 0.0000 0.0000 0.0000
Tm1 Tm 0.0000 0.0000 0.8315
Te1 Te 0.0000 0.0000 0.2332
Te2 Te 0.0000 0.0000 0.4302
```


No. 2
VASP calculation (GGA-PBE) on a relaxed structure of KTmTe.

```
data_KTmTe
_space_group_name_H-M_alt 'P 4/n m m'
_space_group_IT_number 129
_cell_length_a 4.621
_cell_length_b 4.621
_cell_length_c 9.585
_cell_angle_alpha 90.00
_cell_angle_beta 90.00
_cell_angle_gamma 90.00
loop_
_space_group_symop_operation_xyz
'x,y,z'
'-x,-y,-z'
'-y+1/2,x,z'
'y+1/2,-x,-z'
'-x+1/2,-y+1/2,z'
'x+1/2,y+1/2,-z'
'y,-x+1/2,z'
'-y,x+1/2,-z'
'x+1/2,-y,-z'
'-x+1/2,y,z'
'-y,-x,-z'
'y,x,z'
'-x,y+1/2,-z'
'x,-y+1/2,z'
'y+1/2,x+1/2,-z'
'-y+1/2,-x+1/2,z'
loop_
_atom_site_label
_atom_site_type_symbol
_atom_site_fract_x
_atom_site_fract_y
_atom_site_fract_z
K1 K 0.250 0.250 0.139
Tm1 Tm 0.250 0.750 0.500
Te1 Te 0.250 0.250 0.740
```


No. 3
VASP calculation (GGA-PBE) on a relaxed structure of K3Tm3UTe8.

```
data_K3Tm3UTe8
_space_group_name_H-M_alt 'R -3 m'
_space_group_IT_number 166
_space_group_name_Hall '-R 3 2"'
_cell_length_a 8.8264
_cell_length_b 8.8264
_cell_length_c 25.1067
_cell_angle_alpha 90.00
_cell_angle_beta 90.00
_cell_angle_gamma 120.00
loop_
_atom_site_label
_atom_site_type_symbol
_atom_site_fract_x
_atom_site_fract_y
_atom_site_fract_z
K1 K 0.0000 0.5000 0.0000
Tm1 Tm 0.0000 0.5000 0.5000
U1 U 0.0000 0.0000 0.5000
Te1 Te 0.0000 0.0000 0.2352
Te2 Te 0.0032 0.5016 0.7651
```


No. 4
VASP calculation (GGA-PBE) on a relaxed structure of K3Tm2UTe6.

```
data_K3Tm2UTe6
_space_group_name_H-M_alt 'C 1 2/m 1'
_space_group_IT_number 12
_cell_length_a 7.780
_cell_length_b 13.476
_cell_length_c 8.648
_cell_angle_alpha 90.00
_cell_angle_beta 107.46
_cell_angle_gamma 90.00
loop_
_space_group_symop_operation_xyz
'x,y,z'
'-x,-y,-z'
'-x,y,-z'
'x,-y,z'
'x+1/2,y+1/2,z'
'-x+1/2,-y+1/2,-z'
'-x+1/2,y+1/2,-z'
'x+1/2,-y+1/2,z'
loop_
_atom_site_label
_atom_site_type_symbol
_atom_site_fract_x
_atom_site_fract_y
_atom_site_fract_z
K1 K 0.000 0.000 0.000
K2 K 0.000 0.335 0.000
Tm1 Tm 0.000 0.167 0.500
U1 U 0.000 0.500 0.500
Te1 Te 0.228 0.000 0.708
Te2 Te 0.240 0.330 0.709
```


No. 5
VASP calculation (GGA-PBE) on a relaxed structure of K2TmUTe4.

```
data_K2TmUTe4
_space_group_name_H-M_alt 'P 1 2/m 1'
_space_group_IT_number 10
_cell_length_a 7.783
_cell_length_b 4.482
_cell_length_c 8.659
_cell_angle_alpha 90.00
_cell_angle_beta 107.39
_cell_angle_gamma 90.00
loop_
_space_group_symop_operation_xyz
'x,y,z'
'-x,-y,-z'
'-x,y,-z'
'x,-y,z'
loop_
_atom_site_label
_atom_site_type_symbol
_atom_site_fract_x
_atom_site_fract_y
_atom_site_fract_z
K1 K 0.000 0.000 0.000
K2 K 0.500 0.500 0.000
Tm1 Tm 0.000 0.500 0.500
U1 U 0.500 0.000 0.500
Te1 Te 0.230 0.000 0.708
Te2 Te 0.257 0.500 0.289
```


No. 6
VASP calculation (GGA-PBE) on a relaxed structure of KY2Tm3Te6.

```
data_KY2Tm3Te6
_space_group_name_H-M_alt 'C 1 2/m 1'
_space_group_IT_number 12
_cell_length_a 19.290
_cell_length_b 4.339
_cell_length_c 8.966
_cell_angle_alpha 90.00
_cell_angle_beta 104.39
_cell_angle_gamma 90.00
loop_
_space_group_symop_operation_xyz
'x,y,z'
'-x,-y,-z'
'-x,y,-z'
'x,-y,z'
'x+1/2,y+1/2,z'
'-x+1/2,-y+1/2,-z'
'-x+1/2,y+1/2,-z'
'x+1/2,-y+1/2,z'
loop_
_atom_site_label
_atom_site_type_symbol
_atom_site_fract_x
_atom_site_fract_y
_atom_site_fract_z
K1 K 0.000 0.000 0.000
Y1 Y 0.172 0.500 0.349
Tm1 Tm 0.000 0.000 0.500
Tm2 Tm 0.162 0.500 0.823
Te1 Te 0.003 0.500 0.269
Te2 Te 0.164 0.000 0.588
Te3 Te 0.175 0.000 0.084
```


no.,formation energy from raw total energies (meV per atom),raw total energy (eV per atom)
1,-1358.8,-4.3219
2,-702.9,-3.6064
3,-1217.3,-4.7592
4,-1182.8,-4.7140
5,-1092.9,-4.9081
6,-1256.2,-5.1137